YAs2HSe | PBE-GGA | relaxed

```
5
Lattice="5.5321 0.0000 0.0000 0.0000 5.5321 0.0000 0.0000 0.0000 5.4482" Properties=species:S:1:pos:R:3 pbc="T T T"
Y 0.0000 0.0000 0.0000
As 0.0000 2.7661 0.0000
As 2.7661 0.0000 0.0000
H 2.7661 2.7661 2.7241
Se 0.0000 0.0000 2.7241
```

Summary:
- V (A^3/atom) = 33.348
- spin magnetization (Bohr magnetons per cell) = 1.39
- VASP energy (eV/atom) = -3.89
- DOS(E_F) (states/eV/f.u.) = 5.196

=====

YAs2HSe | PBE-GGA | relaxed

```
5
Lattice="4.0222 0.0000 0.0000 0.0000 4.0222 0.0000 0.0000 0.0000 5.7070" Properties=species:S:1:pos:R:3 pbc="T T T"
Y 0.0000 0.0000 0.0000
As 0.0000 2.0111 2.8535
As 2.0111 0.0000 2.8535
H 2.0111 2.0111 2.8535
Se 2.0111 2.0111 0.0000
```

Summary:
- V (A^3/atom) = 18.466
- spin magnetization (Bohr magnetons per cell) = 0.00
- VASP energy (eV/atom) = -4.86
- DOS(E_F) (states/eV/f.u.) = 2.036

=====

YAsHSe2 | PBE-GGA | relaxed

```
5
Lattice="5.4961 0.0000 0.0000 0.0000 5.4961 0.0000 0.0000 0.0000 5.6777" Properties=species:S:1:pos:R:3 pbc="T T T"
Y 0.0000 0.0000 0.0000
As 0.0000 0.0000 2.8389
H 2.7480 2.7480 2.8389
Se 0.0000 2.7480 0.0000
Se 2.7480 0.0000 0.0000
```

Summary:
- V (A^3/atom) = 34.301
- spin magnetization (Bohr magnetons per cell) = 1.86
- VASP energy (eV/atom) = -3.91
- DOS(E_F) (states/eV/f.u.) = 6.859

=====

Y6As2HSe3 | PBE-GGA | relaxed

```
12
Lattice="8.7847 -2.0350 0.0000 8.7847 2.0350 0.0000 -2.0473 0.0000 7.8380" Properties=species:S:1:pos:R:3 pbc="T T T"
Y -0.4968 0.0000 2.0205
Y 3.9110 0.0000 7.2367
Y 5.1718 0.0000 3.2763
Y 10.3504 0.0000 4.5617
Y 11.6112 0.0000 0.6012
Y 16.0190 0.0000 5.8174
As 1.1688 0.0000 6.4942
As 14.3534 0.0000 1.3438
H 7.7611 0.0000 3.9190
Se 2.3311 0.0000 2.6244
Se 8.7847 0.0000 0.0000
Se 13.1911 0.0000 5.2136
```

Summary:
- V (A^3/atom) = 23.353
- spin magnetization (Bohr magnetons per cell) = 0.00
- VASP energy (eV/atom) = -6.60
- DOS(E_F) (states/eV/f.u.) = 6.450

=====

YAsHSe2 | PBE-GGA | relaxed

```
5
Lattice="5.0069 0.0000 0.0000 0.0000 5.0069 0.0000 0.0000 0.0000 3.6161" Properties=species:S:1:pos:R:3 pbc="T T T"
Y 0.0000 0.0000 0.0000
As 2.5034 2.5034 0.0000
H 2.5034 2.5034 1.8080
Se 0.0000 2.5034 1.8080
Se 2.5034 0.0000 1.8080
```

Summary:
- V (A^3/atom) = 18.130
- spin magnetization (Bohr magnetons per cell) = 0.00
- VASP energy (eV/atom) = -4.66
- DOS(E_F) (states/eV/f.u.) = 1.489

=====

ZnAs2HSe | PBE-GGA | relaxed

```
5
Lattice="4.8580 0.0000 0.0000 0.0000 4.8580 0.0000 0.0000 0.0000 5.0265" Properties=species:S:1:pos:R:3 pbc="T T T"
Zn 0.0000 0.0000 0.0000
As 0.0000 2.4290 0.0000
As 2.4290 0.0000 0.0000
H 2.4290 2.4290 2.5133
Se 0.0000 0.0000 2.5133
```

Summary:
- V (A^3/atom) = 23.726
- spin magnetization (Bohr magnetons per cell) = 1.02
- VASP energy (eV/atom) = -2.41
- DOS(E_F) (states/eV/f.u.) = 3.224

=====

ZnAs2HSe | PBE-GGA | relaxed

```
5
Lattice="3.8259 0.0000 0.0000 0.0000 3.8259 0.0000 0.0000 0.0000 6.2170" Properties=species:S:1:pos:R:3 pbc="T T T"
Zn 0.0000 0.0000 0.0000
As 0.0000 1.9129 3.1085
As 1.9129 0.0000 3.1085
H 1.9129 1.9129 3.1085
Se 1.9129 1.9129 0.0000
```

Summary:
- V (A^3/atom) = 18.200
- spin magnetization (Bohr magnetons per cell) = 0.00
- VASP energy (eV/atom) = -3.01
- DOS(E_F) (states/eV/f.u.) = 3.203

=====

ZrAsHSe2 | PBE-GGA | relaxed

```
5
Lattice="4.8819 0.0000 0.0000 0.0000 4.8819 0.0000 0.0000 0.0000 3.4833" Properties=species:S:1:pos:R:3 pbc="T T T"
Zr 0.0000 0.0000 0.0000
As 2.4409 2.4409 0.0000
H 2.4409 2.4409 1.7416
Se 0.0000 2.4409 1.7416
Se 2.4409 0.0000 1.7416
```

Summary:
- V (A^3/atom) = 16.603
- spin magnetization (Bohr magnetons per cell) = 0.00
- VASP energy (eV/atom) = -4.73
- DOS(E_F) (states/eV/f.u.) = 2.208

=====

ZrAsHSe2 | PBE-GGA | relaxed

```
5
Lattice="5.2123 0.0000 0.0000 0.0000 5.2123 0.0000 0.0000 0.0000 5.3453" Properties=species:S:1:pos:R:3 pbc="T T T"
Zr 0.0000 0.0000 0.0000
As 0.0000 0.0000 2.6727
H 2.6061 2.6061 2.6727
Se 0.0000 2.6061 0.0000
Se 2.6061 0.0000 0.0000
```

Summary:
- V (A^3/atom) = 29.044
- spin magnetization (Bohr magnetons per cell) = 0.18
- VASP energy (eV/atom) = -4.44
- DOS(E_F) (states/eV/f.u.) = 3.205

=====

SiAsH3 | PBE-GGA | relaxed

```
5
Lattice="3.5700 0.0000 0.0000 0.0000 3.5700 0.0000 0.0000 0.0000 3.5700" Properties=species:S:1:pos:R:3 pbc="T T T"
Si 0.0000 0.0000 0.0000
As 1.7850 1.7850 1.7850
H 0.0000 0.0000 1.7850
H 0.0000 1.7850 0.0000
H 1.7850 0.0000 0.0000
```

Summary:
- V (A^3/atom) = 9.100
- spin magnetization (Bohr magnetons per cell) = 0.00
- VASP energy (eV/atom) = -3.30
- DOS(E_F) (states/eV/f.u.) = 1.699

=====

SiAsH3 | PBE-GGA | relaxed

```
10
Lattice="3.8623 0.0000 0.0000 0.0110 6.1043 0.0000 0.0019 0.5139 6.5047" Properties=species:S:1:pos:R:3 pbc="T T T"
Si 0.0000 0.0000 0.0000
Si 1.9328 3.0774 2.1046
As 0.2874 2.3187 4.9620
As 2.2184 1.2719 3.6474
H 0.4544 3.1835 1.9305
H 0.5030 5.2995 6.0042
H 0.5507 0.3021 1.3595
H 2.3952 5.9979 0.1745
H 2.4230 4.3962 2.6055
H 2.4835 2.7754 0.7447
```

Summary:
- V (A^3/atom) = 15.336
- spin magnetization (Bohr magnetons per cell) = 0.00
- VASP energy (eV/atom) = -3.99

=====

SiAsH3 | PBE-GGA | relaxed

```
5
Lattice="3.6934 0.0000 0.0000 0.0000 3.6934 0.0000 0.0000 0.0000 3.6934" Properties=species:S:1:pos:R:3 pbc="T T T"
Si 0.0000 0.0000 0.0000
As 1.8467 1.8467 1.8467
H 0.0000 1.8467 1.8467
H 1.8467 0.0000 1.8467
H 1.8467 1.8467 0.0000
```

Summary:
- V (A^3/atom) = 10.076
- spin magnetization (Bohr magnetons per cell) = 0.00
- VASP energy (eV/atom) = -3.16
- DOS(E_F) (states/eV/f.u.) = 1.990

=====

SiAsH4 | PBE-GGA | relaxed

```
6
Lattice="4.7865 0.0000 0.0000 0.0000 3.6850 0.0000 -2.2757 0.0000 5.4264" Properties=species:S:1:pos:R:3 pbc="T T T"
Si 0.0000 0.0000 0.0000
As 2.5307 1.8425 3.9003
H -0.3029 1.8425 3.9259
H 1.1932 0.0000 0.8975
H 0.5790 1.8425 3.9213
H 3.5552 0.0000 0.8444
```

Summary:
- V (A^3/atom) = 15.952
- spin magnetization (Bohr magnetons per cell) = 0.00
- VASP energy (eV/atom) = -3.81
- DOS(E_F) (states/eV/f.u.) = 1.004

=====

SiAs3H | PBE-GGA | relaxed

```
5
Lattice="4.2744 0.0000 0.0000 0.0000 4.2744 0.0000 0.0000 0.0000 4.2744" Properties=species:S:1:pos:R:3 pbc="T T T"
Si 0.0000 0.0000 0.0000
As 0.0000 2.1372 2.1372
As 2.1372 0.0000 2.1372
As 2.1372 2.1372 0.0000
H 2.1372 2.1372 2.1372
```

Summary:
- V (A^3/atom) = 15.619
- spin magnetization (Bohr magnetons per cell) = 0.00
- VASP energy (eV/atom) = -3.84
- DOS(E_F) (states/eV/f.u.) = 2.628

=====

SiAs3H | PBE-GGA | relaxed

```
5
Lattice="4.7912 0.0000 0.0000 0.0000 4.7912 0.0000 0.0000 0.0000 4.7912" Properties=species:S:1:pos:R:3 pbc="T T T"
Si 0.0000 0.0000 0.0000
As 0.0000 0.0000 2.3956
As 0.0000 2.3956 0.0000
As 2.3956 0.0000 0.0000
H 2.3956 2.3956 2.3956
```

Summary:
- V (A^3/atom) = 21.997
- spin magnetization (Bohr magnetons per cell) = 0.67
- VASP energy (eV/atom) = -3.44
- DOS(E_F) (states/eV/f.u.) = 2.834

=====

Sm3As2H2 | PBE-GGA | relaxed

```
14
Lattice="6.2654 0.0000 0.0000 0.0000 7.0496 0.0000 -3.4687 0.0000 6.5695" Properties=species:S:1:pos:R:3 pbc="T T T"
Sm 0.0000 0.0000 0.0000
Sm -1.7343 3.5248 3.2848
Sm -0.2472 0.4563 4.7453
Sm 1.4871 3.0685 1.4605
Sm 1.3097 3.9811 5.1090
Sm 3.0440 6.5933 1.8242
As -1.6406 4.9342 5.8392
As 0.0937 5.6401 2.5544
As 2.7030 1.4094 4.0151
As 4.4373 2.1153 0.7303
H 1.9152 0.9953 0.4926
H 0.1809 2.5294 3.7773
H 2.6159 4.5201 2.7922
H 0.8815 6.0542 6.0769
```

Summary:
- V (A^3/atom) = 20.726
- spin magnetization (Bohr magnetons per cell) = 0.00
- VASP energy (eV/atom) = -5.22
- DOS(E_F) (states/eV/f.u.) = 3.203

=====

Sm2AsH2 | PBE-GGA | relaxed

```
10
Lattice="0.0000 4.8580 4.9563 3.7426 0.0000 4.9563 3.7426 4.8580 0.0000" Properties=species:S:1:pos:R:3 pbc="T T T"
Sm 2.8070 3.6435 0.8661
Sm 4.6783 6.0725 3.3443
Sm 2.8070 3.6435 6.5684
Sm 4.6783 6.0725 9.0465
As 2.8070 3.6435 3.7172
As 4.6783 6.0725 6.1954
H 0.9357 0.0442 1.2391
H 0.9357 2.3847 1.2391
H 6.5496 7.3312 8.6735
H 6.5496 9.6717 8.6735
```

Summary:
- V (A^3/atom) = 18.023
- spin magnetization (Bohr magnetons per cell) = 0.00
- VASP energy (eV/atom) = -5.00
- DOS(E_F) (states/eV/f.u.) = 2.671

=====

Sm4As2H | PBE-GGA | relaxed

```
14
Lattice="4.4058 0.0000 0.0000 0.0000 4.4058 0.0000 0.0000 0.0000 16.5521" Properties=species:S:1:pos:R:3 pbc="T T T"
Sm 0.0000 0.0000 2.9786
Sm 0.0000 0.0000 13.5735
Sm 0.0000 2.2029 0.0000
Sm 0.0000 2.2029 8.2761
Sm 2.2029 0.0000 0.0000
Sm 2.2029 0.0000 8.2761
Sm 2.2029 2.2029 5.2975
Sm 2.2029 2.2029 11.2547
As 0.0000 0.0000 6.0064
As 0.0000 0.0000 10.5457
As 2.2029 2.2029 2.2697
As 2.2029 2.2029 14.2825
H 0.0000 0.0000 0.0000
H 2.2029 2.2029 8.2761
```

Summary:
- V (A^3/atom) = 22.950
- spin magnetization (Bohr magnetons per cell) = 0.00
- VASP energy (eV/atom) = -5.39
- DOS(E_F) (states/eV/f.u.) = 6.783

=====

Sn3AsH | PBE-GGA | relaxed

```
5
Lattice="5.5119 0.0000 0.0000 0.0000 5.5119 0.0000 0.0000 0.0000 5.5119" Properties=species:S:1:pos:R:3 pbc="T T T"
Sn 0.0000 0.0000 2.7560
Sn 0.0000 2.7560 0.0000
Sn 2.7560 0.0000 0.0000
As 0.0000 0.0000 0.0000
H 2.7560 2.7560 2.7560
```

Summary:
- V (A^3/atom) = 33.492
- spin magnetization (Bohr magnetons per cell) = 0.33
- VASP energy (eV/atom) = -3.06
- DOS(E_F) (states/eV/f.u.) = 3.355

=====

SnAsH2 | PBE-GGA | relaxed

```
16
Lattice="4.4600 0.0000 0.0000 0.0000 4.4600 0.0000 0.0000 0.0000 11.6664" Properties=species:S:1:pos:R:3 pbc="T T T"
Sn 0.0000 0.0000 0.0000
Sn 0.0000 2.2300 2.9166
Sn 2.2300 0.0000 8.7498
Sn 2.2300 2.2300 5.8332
As 0.0000 0.0000 5.8332
As 0.0000 2.2300 8.7498
As 2.2300 0.0000 2.9166
As 2.2300 2.2300 0.0000
H 0.1627 1.1150 7.2915
H 1.1150 2.3927 10.2081
H 1.1150 4.2974 4.3749
H 2.0673 1.1150 1.4583
H 2.3927 3.3450 1.4583
H 3.3450 0.1627 4.3749
H 3.3450 2.0673 10.2081
H 4.2974 3.3450 7.2915
```

Summary:
- V (A^3/atom) = 14.504
- spin magnetization (Bohr magnetons per cell) = 0.00
- VASP energy (eV/atom) = -3.34
- DOS(E_F) (states/eV/f.u.) = 0.879